A plane-wave DFT calculation with PBE+U was carried out for a relaxed KVPdF6 crystal.

Properties
electronic total energy	-5.03	eV/atom

a = 6.001 Å, b = 5.869 Å, c = 4.950 Å
α = 90.52°, β = 83.66°, γ = 61.05°
Last column: magnetic moment on the atom in μB.
Element x y z (fractional)
K1 0.048 0.975 0.922  0.00
V1 0.320 0.340 0.507  1.09
Pd1 0.759 0.621 0.466  0.73
F1 0.102 0.217 0.371  0.04
F2 0.502 0.009 0.658  0.03
F3 0.505 0.488 0.662  0.03
F4 0.106 0.448 0.835  -0.02
F5 0.106 0.680 0.375  0.04
F6 0.554 0.222 0.204  -0.03